[1]
DFT (SCAN) results for ThB4Ru4 at its PBEsol-relaxed geometry.

Calculated values
**Calculated formation energy**: -591 meV per atom

Unit cell a=7.4852 b=7.4852 c=15.0818 alpha=90.00 beta=90.00 gamma=90.00
Closest atoms and distances in Å follow each position.
Space group I4_1/acd (No. 142, origin choice 2)
Unique sites:
1 Th 0.0000 0.2500 0.1250 [8 per cell]  12 Ru 2.94-3.21, 12 B 2.99-3.18
2 B 0.1469 0.0832 0.2928 [32 per cell]  1 B 1.79
3 Ru 0.1151 0.1053 0.4363 [32 per cell]  5 B 2.13-2.28

***

[2]
DFT (SCAN) results for TiBBr3 at its PBEsol-relaxed geometry.

Calculated values
**Raw formation energy**: 0.196 eV/atom

Unit cell a=5.0610 b=5.0610 c=5.0610 alpha=90.00 beta=90.00 gamma=90.00
Closest atoms and distances in Å follow each position.
Space group Pm-3m (No. 221)
Unique sites:
1 Ti 0.0000 0.0000 0.0000 [1 per cell]  6 Br 2.53
2 B 0.5000 0.5000 0.5000 [1 per cell]  12 Br 3.58
3 Br 0.0000 0.0000 0.5000 [3 per cell]  2 Ti 2.53

***

[3]
DFT (SCAN) results for Sc5Pt at its PBEsol-relaxed geometry.

Calculated values
**Relative energy among the computed polymorphs**: 39.0 meV/atom
**Calculated formation energy**: -471 meV per atom

Unit cell a=3.3049 b=3.3049 c=11.7988 alpha=90.00 beta=90.00 gamma=90.00
Closest atoms and distances in Å follow each position.
Space group P4/mmm (No. 123)
Unique sites:
1 Sc 0.0000 0.0000 0.0000 [1 per cell]  12 Sc 3.17-3.30
2 Sc 0.0000 0.0000 0.3689 [2 per cell]  4 Pt 2.80, 1 Sc 3.09
3 Sc 0.5000 0.5000 0.1821 [2 per cell]  12 Sc 3.17-3.30
4 Pt 0.5000 0.5000 0.5000 [1 per cell]  8 Sc 2.80

***

Number 1: volume 11.7 Å³ per atom. Number 2: volume 25.9 Å³ per atom. Number 3: volume 21.5 Å³ per atom.